This record from the Alexandria database describes a relaxed structure of CdCuAu. The functional is GGA-PBE.

a = 4.5403 Å, b = 4.5403 Å, c = 2.9099 Å
α = 90.00°, β = 90.00°, γ = 120.00°
Last column: nearest neighbours and their distance in Å.
Element x y z (fractional)
Au  0.0000  0.0000  0.8325  3 Cu 2.62, 2 Au 2.91
Cu  0.6667  0.3333  0.8344  3 Au 2.62, 2 Cu 2.91
Cd  0.3333  0.6667  0.3331  2 Cd 2.91, 6 Cu 3.00, 6 Au 3.00

- M_tot: 0.00 μB per cell
- ΔE_f: -36 meV per atom
- Energy: -2.799 eV/atom
- Calculated density: 11.92 g/cm3
- Energy above the lowest structure with this stoichiometry: 0.027 eV/atom
- D(E_F): 0.37 states/eV per atom

***

This record from the Alexandria database describes a relaxed structure of Cd2CuAu. The functional is GGA-PBE.

a = 5.4318 Å, b = 5.9721 Å, c = 5.5306 Å
α = 104.38°, β = 119.41°, γ = 90.00°
Last column: nearest neighbours and their distance in Å.
Element x y z (fractional)
Cd  0.2171  0.6076  0.4496  3 Au 2.87-2.97, 3 Cu 2.88-2.89, 6 Cd 2.99-3.17
Cd  0.7829  0.3924  0.5504  3 Au 2.87-2.97, 3 Cu 2.88-2.89, 6 Cd 2.99-3.17
Cd  0.2325  0.1076  0.4496  3 Au 2.87-2.97, 3 Cu 2.88-2.89, 6 Cd 2.99-3.17
Cd  0.7675  0.8924  0.5504  3 Au 2.87-2.97, 3 Cu 2.88-2.89, 6 Cd 2.99-3.17
Cu  0.2445  0.7500  0.0000  2 Au 2.67-2.77, 6 Cd 2.88-2.89
Cu  0.7555  0.2500  0.0000  2 Au 2.67-2.77, 6 Cd 2.88-2.89
Au  0.2646  0.2500  0.0000  2 Cu 2.67-2.77, 6 Cd 2.87-2.97
Au  0.7354  0.7500  0.0000  2 Cu 2.67-2.77, 6 Cd 2.87-2.97

- M_tot: 0.00 μB per cell
- ΔE_f: -22 meV per atom
- Energy: -2.323 eV/atom
- Calculated density: 10.76 g/cm3
- D(E_F): 0.16 states/eV per atom